First-principles (GGA-PBE) data for a relaxed NaDyCdS3 crystal, as listed in OQMD.

```
data_NaDyCdS3
_cell_length_a 10.946
_cell_length_b 4.042
_cell_length_c 13.179
_cell_angle_alpha 90.00
_cell_angle_beta 90.00
_cell_angle_gamma 90.00
_space_group_name_H-M_alt 'P n m a'
_space_group_IT_number 62
loop_
_space_group_symop_operation_xyz
'x,y,z'
'-x,-y,-z'
'-x+1/2,-y,z+1/2'
'x+1/2,y,-z+1/2'
'x+1/2,-y+1/2,-z+1/2'
'-x+1/2,y+1/2,z+1/2'
'-x,y+1/2,-z'
'x,-y+1/2,z'
loop_
_atom_site_label
_atom_site_fract_x
_atom_site_fract_y
_atom_site_fract_z
_atom_site_occupancy
Na1 0.173 0.250 0.013 1
Dy1 0.008 0.250 0.734 1
Cd1 0.244 0.250 0.289 1
S1 0.055 0.250 0.391 1
S2 0.055 0.750 0.878 1
S3 0.246 0.750 0.168 1
```

Values from the calculation:
Uncorrected energy: -4.508 eV/atom
Size of the total moment: 0.002 μB/cell
Energy above the lowest structure with this stoichiometry: 0.21 eV per formula unit